# DyYOs

A geometry-optimized DyYOs structure (PBE-GGA, the Open Quantum Materials Database). Values from VASP.

DFT formation energy in eV per formula unit: 2.2
Energy above the most stable polymorph in this dataset in meV/atom: 0.0
Total energy in eV/atom: -6.70
Space group: No. 216

The structure in Quantum ESPRESSO input format:
```
&SYSTEM
  ibrav = 0, nat = 3, ntyp = 3
/
ATOMIC_SPECIES
Dy 162.50 Dy.upf
Os 190.23 Os.upf
Y 88.91 Y.upf
CELL_PARAMETERS angstrom
1.035 -3.594 -2.883
0.971 -4.260 1.791
-3.069 -3.547 -0.547
ATOMIC_POSITIONS crystal
Dy 0.000 0.000 0.000
Os 0.250 0.250 0.250
Y 0.750 0.750 0.750
```